Entry 1:
Density functional theory data (GGA+U) for a relaxed structure of CrIO2.

```
CrIO2
1.0
0.0000 4.1844 4.1844
4.1844 0.0000 4.1844
4.1844 4.1844 0.0000
Cr I O
2 2 4
Direct
0.1250 0.1250 0.1250 Cr
0.8750 0.8750 0.8750 Cr
0.3750 0.3750 0.3750 I
0.6250 0.6250 0.6250 I
0.0000 0.0000 0.0000 O
0.0000 0.0000 0.5000 O
0.0000 0.5000 0.0000 O
0.5000 0.0000 0.0000 O
```

Computed properties:
**Space group**: Fd-3m, No. 227
**E above lowest polymorph**: 170 meV per atom
**M_tot**: 1.000 μB per formula unit

Entry 2:
Density functional theory data (GGA+U) for a relaxed structure of CrIO2.

```
CrIO2
1.0
0.0000 2.9716 2.9716
2.9716 0.0000 2.9716
2.9716 2.9716 0.0000
Cr I O
1 1 2
Direct
0.0000 0.0000 0.0000 Cr
0.5000 0.5000 0.5000 I
0.2500 0.2500 0.2500 O
0.7500 0.7500 0.7500 O
```

Computed properties:
**Space group**: Fm-3m, No. 225
**E above lowest polymorph**: 1906 meV per atom
**M_tot**: 0.790 μB per formula unit

Entry 3:
Density functional theory data (GGA+U) for a relaxed structure of Cr2IO2.

```
Cr2IO2
1.0
7.9089 0.0000 0.0000
0.0000 7.9089 0.0000
0.0000 0.0000 2.9052
Cr I O
4 2 4
Direct
0.1075 0.3925 0.0000 Cr
0.3925 0.8925 0.0000 Cr
0.6075 0.1075 0.0000 Cr
0.8925 0.6075 0.0000 Cr
0.0000 0.0000 0.5000 I
0.5000 0.5000 0.5000 I
0.1049 0.6049 0.5000 O
0.3951 0.1049 0.5000 O
0.6049 0.8951 0.5000 O
0.8951 0.3951 0.5000 O
```

Computed properties:
**Space group**: P4/mbm, No. 127
**E above lowest polymorph**: 896 meV per atom
**M_tot**: 7.601 μB per formula unit